Crystalline LaHo3C2 at its relaxed geometry, computed with GGA-PBE.

Magnetic moment = 0.0550 μB per atom
ΔH_f (0 K) = -0.217 eV per atom

a b c (Å): 7.1917 7.1917 6.4012
angles (deg): 90.00 90.00 120.00
With the nearest neighbours (Å) after each atom.
Space group P-3m1 (No. 164)
Inequivalent atoms, fractional coordinates:
La  0.3333  0.6667  0.2585 [2 per cell]  3 C 2.59
Ho  0.1676  0.3352  0.7054 [6 per cell]  3 C 2.45-2.47
C  0.0000  0.0000  0.5000 [1 per cell]  6 Ho 2.47
C  0.0000  0.5000  0.5000 [3 per cell]  4 Ho 2.45, 2 La 2.59

***

Crystalline LaHo3C at its relaxed geometry, computed with GGA-PBE.

Magnetic moment = 0.0002 μB per atom
ΔH_f (0 K) = -0.012 eV per atom

a b c (Å): 5.0569 5.0569 5.0569
angles (deg): 90.00 90.00 90.00
With the nearest neighbours (Å) after each atom.
Space group Pm-3m (No. 221)
Inequivalent atoms, fractional coordinates:
La  0.0000  0.0000  0.0000 [1 per cell]  12 Ho 3.58
Ho  0.0000  0.5000  0.5000 [3 per cell]  2 C 2.53
C  0.5000  0.5000  0.5000 [1 per cell]  6 Ho 2.53

***

Crystalline LaHoC4 at its relaxed geometry, computed with GGA-PBE.

Magnetic moment = 0.0000 μB per atom
ΔH_f (0 K) = -0.171 eV per atom

a b c (Å): 7.5913 3.7678 7.2696
angles (deg): 90.00 117.94 90.00
With the nearest neighbours (Å) after each atom.
Space group C2/m (No. 12)
Inequivalent atoms, fractional coordinates:
La  0.0000  0.0000  0.0000 [2 per cell]  10 C 2.62-2.86
Ho  0.0000  0.5000  0.5000 [2 per cell]  6 C 2.45-2.64
C  0.1892  0.0000  0.7765 [4 per cell]  1 C 1.30
C  0.2031  0.5000  0.3196 [4 per cell]  1 C 1.30

***

Crystalline La4HoC10 at its relaxed geometry, computed with GGA-PBE.

Magnetic moment = 0.0000 μB per atom
ΔH_f (0 K) = -0.141 eV per atom

a b c (Å): 5.5027 6.5120 27.5009
angles (deg): 90.00 90.00 90.00
With the nearest neighbours (Å) after each atom.
Space group Fmmm (No. 69)
Inequivalent atoms, fractional coordinates:
La  0.0000  0.0000  0.0983 [8 per cell]  10 C 2.61-2.86
La  0.0000  0.0000  0.3011 [8 per cell]  8 C 2.61-2.86
Ho  0.0000  0.0000  0.5000 [4 per cell]  10 C 2.60-2.83
C  0.0000  0.1004  0.0000 [8 per cell]  1 C 1.31
C  0.0000  0.0996  0.1997 [16 per cell]  1 C 1.30
C  0.0000  0.0996  0.4051 [16 per cell]  1 C 1.30

***

Crystalline La2HoPbC at its relaxed geometry, computed with GGA-PBE.

Magnetic moment = 0.0000 μB per atom
ΔH_f (0 K) = -0.441 eV per atom

a b c (Å): 5.2410 5.2410 4.9413
angles (deg): 90.00 90.00 90.00
With the nearest neighbours (Å) after each atom.
Space group P4/mmm (No. 123)
Inequivalent atoms, fractional coordinates:
La  0.0000  0.5000  0.0000 [2 per cell]  2 C 2.62
Ho  0.0000  0.0000  0.5000 [1 per cell]  2 C 2.47
Pb  0.5000  0.5000  0.5000 [1 per cell]  8 La 3.60, 4 Ho 3.71
C  0.0000  0.0000  0.0000 [1 per cell]  2 Ho 2.47, 4 La 2.62

***

Crystalline La2Ho2Pb2C at its relaxed geometry, computed with GGA-PBE.

Magnetic moment = 0.0000 μB per atom
ΔH_f (0 K) = -0.629 eV per atom

a b c (Å): 4.8922 4.8922 16.9061
angles (deg): 90.00 90.00 90.00
With the nearest neighbours (Å) after each atom.
Space group I4/mmm (No. 139)
Inequivalent atoms, fractional coordinates:
La  0.0000  0.0000  0.1591 [4 per cell]  1 C 2.69
Ho  0.0000  0.5000  0.0000 [4 per cell]  2 C 2.45
Pb  0.0000  0.0000  0.3649 [4 per cell]  4 Ho 3.35, 5 La 3.48
C  0.0000  0.0000  0.0000 [2 per cell]  4 Ho 2.45, 2 La 2.69

***

Crystalline La2Ho2Sb2C at its relaxed geometry, computed with GGA-PBE.

Magnetic moment = 0.0037 μB per atom
Formation energy from raw total energies = -0.90 eV/atom

a b c (Å): 4.8171 4.8171 16.5865
angles (deg): 90.00 90.00 90.00
With the nearest neighbours (Å) after each atom.
Space group I4/mmm (No. 139)
Inequivalent atoms, fractional coordinates:
La  0.0000  0.0000  0.1629 [4 per cell]  1 C 2.70
Ho  0.0000  0.5000  0.0000 [4 per cell]  2 C 2.41
Sb  0.0000  0.0000  0.3664 [4 per cell]  4 Ho 3.27, 5 La 3.38-3.44
C  0.0000  0.0000  0.0000 [2 per cell]  4 Ho 2.41

***

Crystalline LaHo2SnC at its relaxed geometry, computed with GGA-PBE.

Magnetic moment = 0.0000 μB per atom
ΔH_f (0 K) = -0.552 eV per atom

a b c (Å): 4.9130 4.9130 5.1692
angles (deg): 90.00 90.00 90.00
With the nearest neighbours (Å) after each atom.
Space group P4/mmm (No. 123)
Inequivalent atoms, fractional coordinates:
La  0.0000  0.0000  0.0000 [1 per cell]  2 C 2.58
Ho  0.0000  0.5000  0.5000 [2 per cell]  2 C 2.46
Sn  0.5000  0.5000  0.0000 [1 per cell]  4 La 3.47, 8 Ho 3.57
C  0.0000  0.0000  0.5000 [1 per cell]  4 Ho 2.46, 2 La 2.58